No. 1
Zr2TcRu | Alexandria via LeMat-Bulk | PBE | relaxed; space group = R-3m (166); energy of formation from the pure elements = -0.119 eV/atom; electronic total energy = -9.304 eV per atom
1.0
8.464 -0.003 -0.002
7.862 3.136 -0.002
7.862 1.509 2.749
Zr Ru Tc
2 1 1
direct
0.500 0.500 0.500 Zr
0.000 0.000 0.000 Zr
0.250 0.250 0.250 Ru
0.750 0.750 0.750 Tc


No. 2
Rb3Np3HgSe8 | Alexandria via LeMat-Bulk | PBE | relaxed; space group = C2/m (12); electronic total energy = -5.713 eV per atom
1.0
-5.086 -3.568 -5.705
5.310 -4.774 4.488
-7.510 3.393 4.572
Np Rb Hg Se
3 3 1 8
direct
0.500 0.000 0.500 Np
0.500 0.500 0.500 Np
0.000 0.500 0.500 Np
0.500 0.500 0.000 Rb
0.000 0.000 0.000 Rb
0.000 0.500 0.000 Rb
0.000 0.000 0.500 Hg
0.717 0.956 0.693 Se
0.760 0.044 0.307 Se
0.762 0.523 0.308 Se
0.733 0.465 0.695 Se
0.283 0.044 0.307 Se
0.240 0.956 0.693 Se
0.267 0.535 0.305 Se
0.238 0.477 0.692 Se


Values for mass density, g/cm3, ordered as above
8.67, 6.01